[1]
CeDySN, relaxed, DFT PBE; DOS(E_F) = 3.85 states/eV per cell; SG = R3m, No. 160; ΔE_f (raw) = -1.79 eV per atom
1.0
-1.374 -1.683 2.962
-0.521 -1.441 -3.339
6.180 -1.813 1.839
Ce Dy S N
1 1 1 1
Direct
0.108 0.034 0.157
0.582 0.982 0.579
0.341 0.501 0.858
0.847 0.513 0.376

---

[2]
Ce2DySbN5, relaxed, DFT PBE; DOS(E_F) = 14.77 states/eV per cell; SG = Cmc2_1, No. 36; ΔE_f (raw) = -0.85 eV per atom
1.0
3.489 0.000 0.000
-1.745 7.024 0.000
0.000 0.000 10.661
Ce Dy Sb N
4 2 2 10
Direct
0.858 0.717 0.779
0.114 0.227 0.694
0.142 0.283 0.279
0.886 0.773 0.194
0.779 0.558 0.500
0.221 0.442 0.000
0.524 0.048 0.963
0.476 0.952 0.463
0.380 0.759 0.015
0.674 0.348 0.865
0.486 0.972 0.778
0.280 0.559 0.666
0.946 0.892 0.563
0.620 0.241 0.515
0.326 0.652 0.365
0.514 0.028 0.278
0.720 0.441 0.166
0.054 0.108 0.063

---

[3]
Ce4Dy2Sb3N2, relaxed, DFT PBE; DOS(E_F) = 21.69 states/eV per cell; SG = I4/mmm, No. 139; ΔE_f (raw) = -1.10 eV per atom
1.0
-4.649 0.138 0.352
-0.289 -4.093 -2.218
3.148 -4.252 12.340
Ce Dy Sb N
4 2 3 2
Direct
0.414 0.914 0.828
0.914 0.414 0.828
0.086 0.586 0.172
0.586 0.086 0.172
0.304 0.304 0.609
0.696 0.696 0.391
0.000 0.000 0.000
0.182 0.182 0.364
0.818 0.818 0.636
0.392 0.392 0.783
0.608 0.608 0.217

---

[4]
CeDy2SiN4, relaxed, DFT PBE; DOS(E_F) = 12.94 states/eV per cell; SG = Cmcm, No. 63; ΔE_f (raw) = -1.33 eV per atom
1.0
-1.536 0.620 -2.955
2.273 -5.532 -0.400
-9.855 -4.354 4.211
Ce Dy Si N
2 4 2 8
Direct
0.089 0.177 0.750
0.911 0.823 0.250
0.369 0.737 0.542
0.631 0.263 0.042
0.631 0.263 0.458
0.369 0.737 0.958
0.824 0.647 0.750
0.176 0.353 0.250
0.267 0.535 0.130
0.733 0.465 0.630
0.733 0.465 0.870
0.267 0.535 0.370
0.000 0.000 0.500
0.000 0.000 0.000
0.406 0.811 0.750
0.594 0.189 0.250

---

[5]
CeSmDy2N4, relaxed, DFT PBE; DOS(E_F) = 3.36 states/eV per cell; SG = P2/m, No. 10; ΔE_f (raw) = -1.60 eV per atom
1.0
-2.001 -2.886 0.318
1.406 -1.603 -5.710
4.080 -2.407 3.832
Ce Sm Dy N
1 1 2 4
Direct
0.000 0.000 0.000
0.500 0.500 0.000
0.500 0.000 0.500
0.000 0.500 0.500
0.500 0.247 0.253
0.500 0.753 0.747
0.000 0.243 0.747
0.000 0.757 0.253

---

[6]
CeSmDyN3, relaxed, DFT PBE; DOS(E_F) = 8.44 states/eV per cell; SG = P2_1/m, No. 11; ΔE_f (raw) = -1.34 eV per atom
1.0
-0.248 2.917 1.753
-2.009 -3.031 4.760
9.104 -0.721 2.486
Ce Sm Dy N
2 2 2 6
Direct
0.750 0.723 0.737
0.250 0.277 0.263
0.250 0.192 0.621
0.750 0.808 0.379
0.250 0.760 0.055
0.750 0.240 0.945
0.250 0.779 0.550
0.750 0.016 0.149
0.750 0.518 0.164
0.750 0.221 0.450
0.250 0.482 0.836
0.250 0.984 0.851

---

[7]
CeDy2SnN, relaxed, DFT PBE; DOS(E_F) = 6.84 states/eV per cell; SG = P4/mmm, No. 123; ΔE_f (raw) = -1.00 eV per atom
1.0
-1.017 -4.421 -1.715
1.788 -1.978 4.041
-4.383 0.215 2.044
Ce Dy Sn N
1 2 1 1
Direct
0.500 0.000 0.000
0.000 0.000 0.500
0.000 0.500 0.000
0.500 0.500 0.500
0.000 0.000 0.000

---

[8]
Ce2DyTaN5, relaxed, DFT PBE; DOS(E_F) = 14.63 states/eV per cell; SG = Cmc2_1, No. 36; ΔE_f (raw) = -1.37 eV per atom
1.0
-1.487 -2.943 -1.183
0.725 -1.120 7.062
-9.539 4.162 1.638
Ce Dy Ta N
4 2 2 10
Direct
0.859 0.719 0.776
0.110 0.221 0.693
0.141 0.281 0.276
0.890 0.779 0.193
0.780 0.560 0.496
0.220 0.440 0.996
0.523 0.047 0.965
0.477 0.953 0.465
0.384 0.768 0.021
0.670 0.341 0.869
0.484 0.969 0.785
0.280 0.560 0.668
0.948 0.895 0.551
0.616 0.232 0.521
0.330 0.659 0.369
0.516 0.031 0.285
0.720 0.440 0.168
0.052 0.105 0.051

---

[9]
CeDy2TaN4, relaxed, DFT PBE; DOS(E_F) = 4.02 states/eV per cell; SG = P2/m, No. 10; ΔE_f (raw) = -1.46 eV per atom
1.0
-1.140 -0.215 -3.160
-1.717 -5.554 0.998
-4.403 3.609 1.343
Ce Dy Ta N
1 2 1 4
Direct
0.500 0.500 0.000
0.500 0.000 0.500
0.000 0.500 0.500
0.000 0.000 0.000
0.500 0.224 0.225
0.500 0.776 0.775
0.000 0.229 0.763
0.000 0.771 0.237

---

[10]
Ce3Dy2TaN6, relaxed, DFT PBE; DOS(E_F) = 7.82 states/eV per cell; SG = C2/m, No. 12; ΔE_f (raw) = -1.52 eV per atom
1.0
-2.053 3.261 -4.509
4.433 -3.837 -0.895
-4.556 -3.871 0.575
Ce Dy Ta N
3 2 1 6
Direct
0.168 0.832 0.500
0.832 0.168 0.500
0.500 0.500 0.500
0.334 0.666 0.000
0.666 0.334 0.000
0.000 0.000 0.000
0.925 0.618 0.775
0.769 0.769 0.231
0.075 0.382 0.225
0.618 0.925 0.775
0.231 0.231 0.769
0.382 0.075 0.225

---

[11]
Ce2DyTaN4, relaxed, DFT PBE; DOS(E_F) = 4.49 states/eV per cell; SG = P2/m, No. 10; ΔE_f (raw) = -1.47 eV per atom
1.0
3.362 0.000 0.000
0.000 5.865 0.117
0.000 -2.038 5.627
Ce Dy Ta N
2 1 1 4
Direct
0.500 0.000 0.500
0.000 0.500 0.500
0.500 0.500 0.000
0.000 0.000 0.000
0.500 0.220 0.216
0.500 0.780 0.784
0.000 0.233 0.777
0.000 0.767 0.223

---

[12]
TbCeDyN3, relaxed, DFT PBE; DOS(E_F) = 7.77 states/eV per cell; SG = P2_1/m, No. 11; ΔE_f (raw) = -1.40 eV per atom
1.0
3.466 0.000 0.000
0.000 6.024 0.300
0.000 -2.264 8.825
Tb Ce Dy N
2 2 2 6
Direct
0.250 0.147 0.638
0.750 0.853 0.362
0.750 0.657 0.696
0.250 0.343 0.304
0.250 0.771 0.045
0.750 0.229 0.955
0.250 0.742 0.503
0.750 0.037 0.154
0.750 0.536 0.171
0.750 0.258 0.497
0.250 0.464 0.829
0.250 0.963 0.846

---

[13]
Tb2Ce3DyN6, relaxed, DFT PBE; DOS(E_F) = 7.32 states/eV per cell; SG = C2/m, No. 12; ΔE_f (raw) = -1.59 eV per atom
1.0
-1.284 3.224 -5.030
-2.947 -5.238 1.106
-2.648 3.566 4.200
Tb Ce Dy N
2 3 1 6
Direct
0.333 0.667 0.000
0.667 0.333 0.000
0.167 0.833 0.500
0.833 0.167 0.500
0.500 0.500 0.500
0.000 0.000 0.000
0.917 0.585 0.750
0.751 0.751 0.250
0.083 0.415 0.250
0.585 0.917 0.750
0.249 0.249 0.750
0.415 0.083 0.250

---

[14]
Tb2CeDyN4, relaxed, DFT PBE; DOS(E_F) = 3.23 states/eV per cell; SG = P2/m, No. 10; ΔE_f (raw) = -1.63 eV per atom
1.0
-1.084 -1.690 -2.881
4.999 -3.429 0.129
-4.368 -2.699 3.227
Tb Ce Dy N
2 1 1 4
Direct
0.500 0.000 0.500
0.000 0.500 0.500
0.500 0.500 0.000
0.000 0.000 0.000
0.500 0.251 0.246
0.500 0.749 0.754
0.000 0.251 0.752
0.000 0.749 0.248

---

[15]
TbCeDy2N4, relaxed, DFT PBE; DOS(E_F) = 3.30 states/eV per cell; SG = P2/m, No. 10; ΔE_f (raw) = -1.64 eV per atom
1.0
3.505 0.000 0.000
0.000 6.054 0.114
0.000 -2.110 5.675
Tb Ce Dy N
1 1 2 4
Direct
0.500 0.500 0.000
0.000 0.000 0.000
0.500 0.000 0.500
0.000 0.500 0.500
0.500 0.249 0.251
0.500 0.751 0.749
0.000 0.247 0.751
0.000 0.753 0.249

---

[16]
Ce3DyTh2N6, relaxed, DFT PBE; DOS(E_F) = 9.80 states/eV per cell; SG = C2/m, No. 12; ΔE_f (raw) = -1.56 eV per atom
1.0
6.220 -0.001 0.002
-3.110 5.387 0.002
-1.036 -1.794 5.860
Ce Dy Th N
3 1 2 6
Direct
0.165 0.835 0.500
0.835 0.165 0.500
0.500 0.500 0.500
0.000 0.000 0.000
0.333 0.667 0.000
0.667 0.333 0.000
0.917 0.588 0.752
0.754 0.754 0.250
0.083 0.412 0.248
0.588 0.917 0.752
0.246 0.246 0.750
0.412 0.083 0.248

---

[17]
CeDy3Th2N6, relaxed, DFT PBE; DOS(E_F) = 4.60 states/eV per cell; SG = C2/m, No. 12; ΔE_f (raw) = -1.62 eV per atom
1.0
-2.958 1.885 -0.613
-1.084 -3.653 -5.997
-2.294 -5.130 5.637
Ce Dy Th N
1 3 2 6
Direct
0.500 0.000 0.000
0.500 0.500 0.000
0.835 0.166 0.670
0.165 0.834 0.330
0.835 0.669 0.669
0.165 0.331 0.331
0.333 0.919 0.665
0.665 0.586 0.331
0.667 0.081 0.335
0.999 0.251 0.999
0.001 0.749 0.001
0.335 0.414 0.669

---

[18]
CeDyThN3, relaxed, DFT PBE; DOS(E_F) = 7.53 states/eV per cell; SG = P2_1/m, No. 11; ΔE_f (raw) = -1.35 eV per atom
1.0
3.467 0.000 0.000
0.000 7.005 -0.411
0.000 -3.386 9.296
Ce Dy Th N
2 2 2 6
Direct
0.250 0.326 0.557
0.750 0.674 0.443
0.250 0.697 0.118
0.750 0.303 0.882
0.750 0.794 0.835
0.250 0.206 0.165
0.250 0.670 0.600
0.750 0.923 0.097
0.750 0.462 0.136
0.750 0.330 0.400
0.250 0.538 0.864
0.250 0.077 0.903

---

[19]
Ce2DyTiN5, relaxed, DFT PBE; SG = Cmc2_1, No. 36; ΔE_f (raw) = -1.42 eV per atom
1.0
-2.641 1.792 1.448
0.332 -5.923 3.693
7.152 4.817 7.083
Ce Dy Ti N
4 2 2 10
Direct
0.868 0.736 0.742
0.127 0.255 0.708
0.132 0.264 0.242
0.873 0.745 0.208
0.769 0.538 0.485
0.231 0.462 0.985
0.504 0.008 0.983
0.496 0.992 0.483
0.385 0.769 0.073
0.714 0.428 0.840
0.466 0.932 0.816
0.281 0.563 0.640
0.942 0.885 0.536
0.615 0.231 0.573
0.286 0.572 0.340
0.534 0.068 0.316
0.719 0.437 0.140
0.058 0.115 0.036

---

[20]
CeDyTiN3, relaxed, DFT PBE; DOS(E_F) = 12.11 states/eV per cell; SG = P2_1/m, No. 11; ΔE_f (raw) = -1.31 eV per atom
1.0
3.508 0.000 0.000
0.000 7.158 0.831
0.000 -1.861 7.504
Ce Dy Ti N
2 2 2 6
Direct
0.750 0.834 0.830
0.250 0.166 0.170
0.250 0.633 0.158
0.750 0.367 0.842
0.250 0.105 0.595
0.750 0.895 0.405
0.250 0.827 0.494
0.750 0.880 0.150
0.750 0.392 0.138
0.750 0.173 0.506
0.250 0.608 0.862
0.250 0.120 0.850

---

[21]
Ce2DyTmN4, relaxed, DFT PBE; DOS(E_F) = 4.47 states/eV per cell; SG = P2/m, No. 10; ΔE_f (raw) = -1.61 eV per atom
1.0
-0.794 2.586 -2.222
2.490 -3.145 -4.548
-5.891 -1.420 0.452
Ce Dy Tm N
2 1 1 4
Direct
0.500 0.000 0.500
0.000 0.500 0.500
0.500 0.500 0.000
0.000 0.000 0.000
0.500 0.245 0.244
0.500 0.755 0.756
0.000 0.248 0.754
0.000 0.752 0.246

---

Per-record energy, eV/atom: -7.54 -7.77 -6.73 -8.07 -8.24 -8.04 -6.49 -9.14 -9.00 -8.92 -9.17 -8.09 -8.39 -8.27 -8.28 -8.83 -8.66 -8.50 -8.75 -8.54 -8.39
Per-record size of the total moment, μB per cell: 0.36 1.97 3.83 2.04 0.15 1.51 0.82 2.16 0.00 0.00 0.00 1.74 0.74 0.05 0.11 0.00 0.04 3.44 0.00 1.56 0.55